# 1
# Ca2NdRu PBE relaxed
data_Ca2NdRu
_chemical_formula_sum 'Ca8 Nd4 Ru4'
_symmetry_space_group_name_H-M 'P 1'
_symmetry_Int_Tables_number 1
_cell_length_a 7.614
_cell_length_b 9.694
_cell_length_c 6.454
_cell_angle_alpha 90.00
_cell_angle_beta 90.00
_cell_angle_gamma 90.00
loop_
_symmetry_equiv_pos_as_xyz
'x,y,z'
loop_
_atom_site_label
_atom_site_type_symbol
_atom_site_fract_x
_atom_site_fract_y
_atom_site_fract_z
Ca1 Ca 0.170 0.068 0.159
Ca2 Ca 0.170 0.432 0.159
Ca3 Ca 0.330 0.568 0.659
Ca4 Ca 0.330 0.932 0.659
Ca5 Ca 0.670 0.068 0.341
Ca6 Ca 0.670 0.432 0.341
Ca7 Ca 0.830 0.568 0.841
Ca8 Ca 0.830 0.932 0.841
Nd1 Nd 0.045 0.250 0.641
Nd2 Nd 0.455 0.750 0.141
Nd3 Nd 0.545 0.250 0.859
Nd4 Nd 0.955 0.750 0.359
Ru1 Ru 0.130 0.750 0.990
Ru2 Ru 0.370 0.250 0.490
Ru3 Ru 0.630 0.750 0.510
Ru4 Ru 0.870 0.250 0.010
# **Density of states at the Fermi level**: 0.71 states/eV per atom
# **ΔE_f**: -0.0522 eV per atom
# **Magnetic moment**: 0.000 Bohr magnetons per cell
# **Space group**: Pnma

=====

# 2
# Ba2ZnAgAu PBE relaxed
data_Ba2ZnAgAu
_chemical_formula_sum 'Ba4 Zn2 Ag2 Au2'
_symmetry_space_group_name_H-M 'P 1'
_symmetry_Int_Tables_number 1
_cell_length_a 8.311
_cell_length_b 4.839
_cell_length_c 8.724
_cell_angle_alpha 90.00
_cell_angle_beta 112.08
_cell_angle_gamma 90.00
loop_
_symmetry_equiv_pos_as_xyz
'x,y,z'
loop_
_atom_site_label
_atom_site_type_symbol
_atom_site_fract_x
_atom_site_fract_y
_atom_site_fract_z
Ba1 Ba 0.074 0.250 0.213
Ba2 Ba 0.373 0.750 0.672
Ba3 Ba 0.627 0.250 0.328
Ba4 Ba 0.926 0.750 0.787
Zn1 Zn 0.299 0.250 0.929
Zn2 Zn 0.701 0.750 0.071
Ag1 Ag 0.348 0.750 0.084
Ag2 Ag 0.652 0.250 0.916
Au1 Au 0.073 0.250 0.605
Au2 Au 0.927 0.750 0.395
# **Density of states at the Fermi level**: 0.53 states/eV per atom
# **ΔE_f**: -0.4093 eV per atom
# **Magnetic moment**: 0.000 Bohr magnetons per cell
# **Space group**: P2_1/m